Below is Er2Mg3Sn3 after structural relaxation, with properties calculated at the PBE-GGA level.

abc: 4.707 4.596 8.894
angles: 90.00 90.00 90.00
Fractional coordinates of all 8 atoms:
Sn: 0.500 0.000 0.500
Mg: 0.500 0.500 0.244
Sn: 0.000 0.500 0.000
Mg: 0.500 0.000 0.000
Er: 0.000 0.000 0.743
Mg: 0.500 0.500 0.756
Sn: 0.000 0.500 0.500
Er: 0.000 0.000 0.257

Symmetry = Pmmm (47)
Magnetization = 0.00 μB/cell
Formation enthalpy at 0 K = -422.8 meV/atom
Crystal system = orthorhombic